The following is a DFT calculation (PBE) of crystalline Rb3SmTh2S6 at its relaxed geometry.

a = 7.1798 Å, b = 12.4355 Å, c = 8.1399 Å
α = 90.00°, β = 107.09°, γ = 90.00°
Closest atoms and distances in Å follow each position.
Space group C2/m (No. 12)
Symmetry-distinct sites (fractional):
Rb1 0.0000 0.0000 0.0000  6 S 3.32-3.35
Rb2 0.0000 0.3343 0.0000  6 S 3.33-3.35
Sm1 0.0000 0.5000 0.5000  6 S 2.88
Th1 0.0000 0.1667 0.5000  6 S 2.85
S1 0.2301 0.0000 0.7004  2 Th 2.85, 1 Sm 2.88
S2 0.2353 0.3316 0.7006  2 Th 2.85, 1 Sm 2.88

Output
V = 28.94 Å³/atom
energy = -0.20756 hartree per atom
magnetic moment = 0.00 μB/atom
formation energy from raw total energies = -1712 meV/atom